--- a ---
DFT (PBE-GGA) results for a geometry-optimized RbMoP2Cl structure.

Geometry as CIF:
```
data_RbMoP2Cl
_space_group_name_H-M_alt 'P 4/m m m'
_space_group_IT_number 123
_space_group_name_Hall '-P 4 2'
_cell_length_a 5.228
_cell_length_b 5.228
_cell_length_c 5.369
_cell_angle_alpha 90.00
_cell_angle_beta 90.00
_cell_angle_gamma 90.00
loop_
_atom_site_label
_atom_site_fract_x
_atom_site_fract_y
_atom_site_fract_z
_atom_site_occupancy
Rb1 0.000 0.000 0.000 1
Mo1 0.500 0.500 0.500 1
P1 0.000 0.500 0.000 1
Cl1 0.000 0.000 0.500 1
```

Calculated values
* total magnetization: 0.14 μB/cell

--- b ---
DFT (PBE-GGA) results for a geometry-optimized RbMoP2Cl structure.

Geometry as CIF:
```
data_RbMoP2Cl
_space_group_name_H-M_alt 'P 4/m m m'
_space_group_IT_number 123
_space_group_name_Hall '-P 4 2'
_cell_length_a 4.680
_cell_length_b 4.680
_cell_length_c 5.558
_cell_angle_alpha 90.00
_cell_angle_beta 90.00
_cell_angle_gamma 90.00
loop_
_atom_site_label
_atom_site_fract_x
_atom_site_fract_y
_atom_site_fract_z
_atom_site_occupancy
Rb1 0.000 0.000 0.000 1
Mo1 0.500 0.500 0.500 1
P1 0.000 0.500 0.500 1
Cl1 0.500 0.500 0.000 1
```

Calculated values
* total magnetization: 0.00 μB/cell

Pick the least stable structure from those above. Pick: a